Entry from the Alexandria database: an optimized crystal structure of NaFeF6 (GGA+U).

Summary:
Calculated total energy, eV for the cell shown: -33.639
SG: P312 (149)
Size of the total moment, μB/f.u.: 3.1

Unit cell a=5.190 b=5.190 c=4.913 alpha=90.00 beta=90.00 gamma=120.00
Sites, in units of the cell vectors:
Na  0.000  0.000  0.000
Fe  0.667  0.333  0.500
F  0.386  0.051  0.711
F  0.386  0.335  0.289
F  0.665  0.051  0.289
F  0.665  0.614  0.711
F  0.949  0.335  0.711
F  0.949  0.614  0.289